Record 1
Compound: SnHI2N
Source: Alexandria
Functional: PBEsol
Structure: optimized geometry Values from VASP.

Cell and atoms, written as Quantum ESPRESSO input:
```
&SYSTEM
  ibrav = 0, nat = 5, ntyp = 4
/
ATOMIC_SPECIES
N 14.01 N.upf
Sn 118.71 Sn.upf
H 1.01 H.upf
I 126.90 I.upf
CELL_PARAMETERS angstrom
2.9906 0.0000 0.0000
0.0000 6.1946 0.0000
0.0000 0.0000 6.1946
ATOMIC_POSITIONS angstrom
N 1.4953 0.0000 0.0000
Sn 1.4953 3.0973 3.0973
H 0.0000 0.0000 0.0000
I 0.0000 3.0973 0.0000
I 0.0000 0.0000 3.0973
```

total DFT energy (no corrections) = -15.1 eV per cell
space-group type = P4/mmm (123)



Record 2
Compound: TaHI2N
Source: Alexandria
Functional: PBEsol
Structure: optimized geometry Values from VASP.

Cell and atoms, written as Quantum ESPRESSO input:
```
&SYSTEM
  ibrav = 0, nat = 5, ntyp = 4
/
ATOMIC_SPECIES
N 14.01 N.upf
I 126.90 I.upf
Ta 180.95 Ta.upf
H 1.01 H.upf
CELL_PARAMETERS angstrom
3.1405 0.0000 0.0000
0.0000 5.0718 0.0000
0.0000 0.0000 5.0718
ATOMIC_POSITIONS angstrom
N 1.5702 0.0000 0.0000
I 0.0000 2.5359 0.0000
I 0.0000 0.0000 2.5359
Ta 1.5702 2.5359 2.5359
H 0.0000 0.0000 0.0000
```

total DFT energy (no corrections) = -21.3 eV per cell
space-group type = P4/mmm (123)



Record 3
Compound: TiHIN2
Source: Alexandria
Functional: PBEsol
Structure: optimized geometry Values from VASP.

Cell and atoms, written as Quantum ESPRESSO input:
```
&SYSTEM
  ibrav = 0, nat = 5, ntyp = 4
/
ATOMIC_SPECIES
Ti 47.87 Ti.upf
H 1.01 H.upf
N 14.01 N.upf
I 126.90 I.upf
CELL_PARAMETERS angstrom
-3.3068 0.9333 1.5378
-0.7302 -3.6375 0.6375
2.5610 0.4077 5.2598
ATOMIC_POSITIONS angstrom
Ti 0.0000 0.0000 0.0000
H -0.7380 -1.1483 3.7175
N -1.6534 0.4667 0.7689
N -0.3651 -1.8188 0.3187
I 1.2805 0.2038 2.6299
```

total DFT energy (no corrections) = -27.3 eV per cell
space-group type = P4/mmm (123)



Record 4
Compound: NaVH2I2O9
Source: Alexandria
Functional: PBEsol
Structure: optimized geometry Values from VASP.

Cell and atoms, written as Quantum ESPRESSO input:
```
&SYSTEM
  ibrav = 0, nat = 30, ntyp = 5
/
ATOMIC_SPECIES
O 16.00 O.upf
V 50.94 V.upf
I 126.90 I.upf
H 1.01 H.upf
Na 22.99 Na.upf
CELL_PARAMETERS angstrom
-1.7653 -1.8801 4.4193
-6.3025 -4.4162 -4.3963
7.3703 -5.0103 0.8126
ATOMIC_POSITIONS angstrom
O -0.1705 -10.5573 1.1097
O 1.9972 -8.6187 2.2369
V -1.3278 -2.3263 0.1477
O -1.2575 -1.5274 1.5549
I 3.4030 -5.9619 -0.4819
O 1.6334 -6.1194 3.3599
O -5.2239 -4.5951 -0.8155
H -4.0698 -7.7602 0.7101
O -2.8479 -5.7378 -1.2299
Na -5.1105 -5.6113 -2.9594
V 0.5191 -9.0988 0.9664
O 0.8407 -5.6828 0.5893
O -1.1363 -7.0658 -3.0648
O 1.3975 -6.3431 -1.9609
O 0.1940 -2.2557 -0.5057
I -0.4864 -6.1471 -1.6154
H -4.9418 -7.4236 -0.5916
O 1.0861 -3.5515 2.2801
O -4.7605 -7.1236 0.3602
I -0.0400 -4.9773 2.0227
H 4.1863 -3.9448 1.5725
H 2.6608 -4.3042 1.9068
O -3.0895 -3.1084 -0.4129
O -0.2331 -8.3498 -0.3067
Na 4.4202 -5.6878 3.7772
O -2.2473 -6.3791 2.0217
O -1.3192 -4.1373 0.8545
O 3.5570 -4.7219 1.7422
O 5.2518 -5.9390 -0.1648
I -3.6320 -4.8458 0.1449
```

total DFT energy (no corrections) = -170.9 eV per cell
space-group type = P2_1 (4)



Record 5
Compound: NaSbHI2
Source: Alexandria
Functional: PBEsol
Structure: optimized geometry Values from VASP.

Cell and atoms, written as Quantum ESPRESSO input:
```
&SYSTEM
  ibrav = 0, nat = 5, ntyp = 4
/
ATOMIC_SPECIES
Sb 121.76 Sb.upf
I 126.90 I.upf
H 1.01 H.upf
Na 22.99 Na.upf
CELL_PARAMETERS angstrom
5.8292 0.0000 0.0000
0.0000 5.8292 0.0000
0.0000 0.0000 5.7733
ATOMIC_POSITIONS angstrom
Sb 0.0000 0.0000 2.8867
I 0.0000 2.9146 0.0000
H 2.9146 2.9146 2.8867
Na 0.0000 0.0000 0.0000
I 2.9146 0.0000 0.0000
```

total DFT energy (no corrections) = -9.1 eV per cell
space-group type = P4/mmm (123)



Record 6
Compound: NaSbHI2
Source: Alexandria
Functional: PBEsol
Structure: optimized geometry Values from VASP.

Cell and atoms, written as Quantum ESPRESSO input:
```
&SYSTEM
  ibrav = 0, nat = 5, ntyp = 4
/
ATOMIC_SPECIES
I 126.90 I.upf
H 1.01 H.upf
Sb 121.76 Sb.upf
Na 22.99 Na.upf
CELL_PARAMETERS angstrom
-1.3946 -3.2509 1.7083
1.5230 -3.0501 -4.5609
5.1008 -0.9568 2.3432
ATOMIC_POSITIONS angstrom
I 0.7615 -1.5250 -2.2805
H 0.0000 0.0000 0.0000
I 2.5504 -0.4784 1.1716
Sb -0.6973 -1.6254 0.8542
Na 2.6146 -3.6289 -0.2547
```

total DFT energy (no corrections) = -13.7 eV per cell
space-group type = P4/mmm (123)



Record 7
Compound: Nb6HI11
Source: Alexandria
Functional: PBEsol
Structure: optimized geometry Values from VASP.

Cell and atoms, written as Quantum ESPRESSO input:
```
&SYSTEM
  ibrav = 0, nat = 72, ntyp = 3
/
ATOMIC_SPECIES
Nb 92.91 Nb.upf
I 126.90 I.upf
H 1.01 H.upf
CELL_PARAMETERS angstrom
-3.0601 -3.0348 -10.4598
10.6893 -7.9280 -0.8271
-8.2731 -11.7632 5.8333
ATOMIC_POSITIONS angstrom
Nb 1.4361 -15.0904 -3.6254
Nb -1.2832 -6.8453 0.8957
I -1.5998 -18.0843 1.8749
I 0.7152 -15.5892 -0.9317
I 0.2553 -10.7937 -6.7786
H -0.2711 -17.7344 5.0905
I -4.5232 -7.0665 -4.8268
I 2.5937 -5.8243 -3.4192
Nb 0.8244 -12.8714 -1.7544
I 2.0440 -14.4895 -6.3519
Nb 0.1895 -4.3468 -3.9080
Nb -0.7147 -3.8564 -6.4260
I 1.2157 -2.3120 -2.2377
I 0.1057 -21.4258 -5.5714
I -2.4529 -8.2214 -8.2603
I 0.6917 -10.2587 -2.8651
I -2.6263 -13.7472 -7.0000
Nb -1.3733 -9.6654 1.5698
I -3.9012 -15.8855 -0.7497
I -3.8836 -17.5422 -4.2423
Nb -7.6997 -13.4281 0.9009
Nb 3.8642 -14.0325 -4.2084
Nb 5.9608 -10.3836 -10.0967
I -6.9541 -10.3447 -5.4322
I -3.0788 -8.6239 -0.4372
I -2.0404 -2.5800 -4.2936
I 5.6642 -13.0218 -2.2293
I 0.7990 -15.3614 2.7849
H 1.0901 -3.5407 -5.5435
I 0.9444 -8.5021 0.2657
I 3.4831 -11.3446 -9.0907
I 4.5961 -5.5127 -0.1274
Nb -4.5660 -9.3140 -6.6335
Nb 3.2365 -11.5776 -2.7015
Nb -5.4977 -14.9204 1.3835
H 2.3184 -13.3575 -3.0547
Nb -6.3922 -14.6579 -1.4607
I 0.5651 -5.0291 -8.6640
Nb 1.8404 -5.3467 -6.1364
I -1.6066 -20.1629 -2.3506
I -3.0953 -10.7164 -4.6558
I -3.1878 -14.3544 3.0147
I -5.2207 -12.4659 -0.1012
I 2.3911 -18.6753 1.0010
I -1.2288 -12.2590 0.1985
Nb 6.5451 -7.2778 -1.2690
I -1.2489 -5.5169 -1.6809
I 0.3108 -17.5007 -4.7781
Nb 0.7823 -18.1637 3.4049
I 2.7045 -11.7585 0.0675
H -1.4994 -7.9176 2.6017
I -8.6697 -12.9732 -1.7421
Nb -1.4703 -16.3735 4.1492
Nb 3.1742 -14.1534 -1.3760
Nb -1.8613 -19.3985 -5.0588
Nb -3.4940 -7.6877 2.2213
Nb 4.1060 -8.5471 -9.3930
I 3.7883 -16.5154 -2.8166
I -3.8792 -10.4498 2.7285
I 4.0459 -11.4722 -5.4112
I 3.0321 -7.8872 -6.7991
I -3.3647 -4.3775 -7.5811
I -5.3919 -14.0459 -4.1120
Nb -4.9083 -12.1676 -6.2653
I -1.0211 -13.6613 -3.7802
I -0.6323 -6.5606 -5.4676
Nb 1.4409 -12.3548 -4.5910
Nb -2.5632 -10.9403 -7.4414
I 4.4538 -8.9717 -2.3469
I -3.0934 -4.8828 1.9395
I 8.5930 -9.1901 -1.7724
I 4.3676 -15.1751 1.0424
```

total DFT energy (no corrections) = -385.8 eV per cell
space-group type = Pna2_1 (33)



Record 8
Compound: NbHI2
Source: Alexandria
Functional: PBEsol
Structure: optimized geometry Values from VASP.

Cell and atoms, written as Quantum ESPRESSO input:
```
&SYSTEM
  ibrav = 0, nat = 8, ntyp = 3
/
ATOMIC_SPECIES
I 126.90 I.upf
Nb 92.91 Nb.upf
H 1.01 H.upf
CELL_PARAMETERS angstrom
-2.9109 2.4717 -4.5394
-1.5109 -6.4017 1.3592
-5.1497 -0.9406 2.7901
ATOMIC_POSITIONS angstrom
I -2.4154 -0.8463 -0.8499
Nb 0.0000 0.0000 0.0000
I -6.1740 -5.1702 2.6268
H -2.7706 -2.8181 0.2423
I -4.7128 -3.7543 -0.5050
Nb -6.8009 -2.0526 -0.6324
I -5.8410 0.0296 -2.0522
H -4.0303 0.7655 -0.8747
```

total DFT energy (no corrections) = -30.5 eV per cell
space-group type = I-42d (122)